1.
# PBE Ni2Ag3Cl8, relaxed
# Calculated density   3.40 g/cm³
# Formation energy (no corrections)   -428.3 meV per atom
data_Ni2Ag3Cl8
_cell_length_a 12.484
_cell_length_b 8.305
_cell_length_c 6.829
_cell_angle_alpha 90.00
_cell_angle_beta 91.68
_cell_angle_gamma 90.00
_symmetry_space_group_name_H-M 'C 1 2/m 1'
_symmetry_Int_Tables_number 12
loop_
_symmetry_equiv_pos_as_xyz
'x,y,z'
'-x,-y,-z'
'-x,y,-z'
'x,-y,z'
'x+1/2,y+1/2,z'
'-x+1/2,-y+1/2,-z'
'-x+1/2,y+1/2,-z'
'x+1/2,-y+1/2,z'
loop_
_atom_site_label
_atom_site_type_symbol
_atom_site_fract_x
_atom_site_fract_y
_atom_site_fract_z
Ni1 Ni 0.207 0.000 0.173
Ag1 Ag 0.000 0.000 0.500
Ag2 Ag 0.000 0.260 0.000
Cl1 Cl 0.116 0.500 0.838
Cl2 Cl 0.129 0.208 0.318
Cl3 Cl 0.133 0.000 0.870



2.
# PBE NiAgP2Cl, relaxed
# Distance to the lowest polymorph of the same formula   0.963 eV/atom
# Calculated density   3.81 g/cm³
# Formation energy (no corrections)   1300.5 meV per atom
data_NiAgP2Cl
_cell_length_a 4.781
_cell_length_b 4.781
_cell_length_c 5.035
_cell_angle_alpha 90.00
_cell_angle_beta 90.00
_cell_angle_gamma 90.00
_symmetry_space_group_name_H-M 'P 4/m m m'
_symmetry_Int_Tables_number 123
_symmetry_space_group_name_Hall '-P 4 2'
loop_
_atom_site_label
_atom_site_type_symbol
_atom_site_fract_x
_atom_site_fract_y
_atom_site_fract_z
Ni1 Ni 0.000 0.000 0.000
Ag1 Ag 0.500 0.500 0.500
P1 P 0.000 0.500 0.500
Cl1 Cl 0.500 0.500 0.000



3.
# PBE NiAgP2Cl, relaxed
# Distance to the lowest polymorph of the same formula   0.000 eV/atom
# Calculated density   3.35 g/cm³
# Formation energy (no corrections)   337.2 meV per atom
data_NiAgP2Cl
_cell_length_a 4.109
_cell_length_b 4.109
_cell_length_c 7.752
_cell_angle_alpha 90.00
_cell_angle_beta 90.00
_cell_angle_gamma 90.00
_symmetry_space_group_name_H-M 'P 4/m m m'
_symmetry_Int_Tables_number 123
_symmetry_space_group_name_Hall '-P 4 2'
loop_
_atom_site_label
_atom_site_type_symbol
_atom_site_fract_x
_atom_site_fract_y
_atom_site_fract_z
Ni1 Ni 0.000 0.000 0.000
Ag1 Ag 0.500 0.500 0.500
P1 P 0.000 0.500 0.000
Cl1 Cl 0.000 0.000 0.500



4.
# PBE NiAgPCl2, relaxed
# Distance to the lowest polymorph of the same formula   0.000 eV/atom
# Calculated density   4.35 g/cm³
# Formation energy (no corrections)   203.2 meV per atom
data_NiAgPCl2
_cell_length_a 4.898
_cell_length_b 4.898
_cell_length_c 4.274
_cell_angle_alpha 90.00
_cell_angle_beta 90.00
_cell_angle_gamma 90.00
_symmetry_space_group_name_H-M 'P 4/m m m'
_symmetry_Int_Tables_number 123
_symmetry_space_group_name_Hall '-P 4 2'
loop_
_atom_site_label
_atom_site_type_symbol
_atom_site_fract_x
_atom_site_fract_y
_atom_site_fract_z
Ni1 Ni 0.000 0.000 0.000
Ag1 Ag 0.500 0.500 0.500
P1 P 0.000 0.000 0.500
Cl1 Cl 0.000 0.500 0.000



5.
# PBE Ni2AgPCl, relaxed
# Calculated density   5.65 g/cm³
# Formation energy (no corrections)   837.2 meV per atom
data_Ni2AgPCl
_cell_length_a 4.077
_cell_length_b 4.077
_cell_length_c 5.155
_cell_angle_alpha 90.00
_cell_angle_beta 90.00
_cell_angle_gamma 90.00
_symmetry_space_group_name_H-M 'P 4/m m m'
_symmetry_Int_Tables_number 123
_symmetry_space_group_name_Hall '-P 4 2'
loop_
_atom_site_label
_atom_site_type_symbol
_atom_site_fract_x
_atom_site_fract_y
_atom_site_fract_z
Ni1 Ni 0.000 0.500 0.000
Ag1 Ag 0.000 0.000 0.500
P1 P 0.500 0.500 0.500
Cl1 Cl 0.500 0.500 0.000



6.
# PBE NiAgPCl2, relaxed
# Distance to the lowest polymorph of the same formula   0.725 eV/atom
# Calculated density   3.41 g/cm³
# Formation energy (no corrections)   928.5 meV per atom
data_NiAgPCl2
_cell_length_a 5.078
_cell_length_b 5.078
_cell_length_c 5.063
_cell_angle_alpha 90.00
_cell_angle_beta 90.00
_cell_angle_gamma 90.00
_symmetry_space_group_name_H-M 'P 4/m m m'
_symmetry_Int_Tables_number 123
_symmetry_space_group_name_Hall '-P 4 2'
loop_
_atom_site_label
_atom_site_type_symbol
_atom_site_fract_x
_atom_site_fract_y
_atom_site_fract_z
Ni1 Ni 0.000 0.000 0.000
Ag1 Ag 0.500 0.500 0.500
P1 P 0.500 0.500 0.000
Cl1 Cl 0.000 0.500 0.500



7.
# PBE NiAg2PbCl6, relaxed
# Calculated density   4.83 g/cm³
# Formation energy (no corrections)   -641.4 meV per atom
data_NiAg2PbCl6
_cell_length_a 6.867
_cell_length_b 6.893
_cell_length_c 12.087
_cell_angle_alpha 90.00
_cell_angle_beta 123.47
_cell_angle_gamma 90.00
_symmetry_space_group_name_H-M 'P 1 21/c 1'
_symmetry_Int_Tables_number 14
loop_
_symmetry_equiv_pos_as_xyz
'x,y,z'
'-x,-y,-z'
'-x,y+1/2,-z+1/2'
'x,-y+1/2,z+1/2'
loop_
_atom_site_label
_atom_site_type_symbol
_atom_site_fract_x
_atom_site_fract_y
_atom_site_fract_z
Ni1 Ni 0.000 0.000 0.000
Ag1 Ag 0.261 0.045 0.756
Pb1 Pb 0.500 0.000 0.500
Cl1 Cl 0.059 0.197 0.421
Cl2 Cl 0.244 0.647 0.442
Cl3 Cl 0.341 0.091 0.222



8.
# PBE NiAg2PbCl8, relaxed
# Calculated density   3.83 g/cm³
# Formation energy (no corrections)   -571.0 meV per atom
data_NiAg2PbCl8
_cell_length_a 6.458
_cell_length_b 7.761
_cell_length_c 6.638
_cell_angle_alpha 90.00
_cell_angle_beta 94.82
_cell_angle_gamma 90.00
_symmetry_space_group_name_H-M 'P 1 2/m 1'
_symmetry_Int_Tables_number 10
loop_
_symmetry_equiv_pos_as_xyz
'x,y,z'
'-x,-y,-z'
'-x,y,-z'
'x,-y,z'
loop_
_atom_site_label
_atom_site_type_symbol
_atom_site_fract_x
_atom_site_fract_y
_atom_site_fract_z
Ni1 Ni 0.000 0.000 0.000
Ag1 Ag 0.500 0.234 0.500
Pb1 Pb 0.000 0.500 0.000
Cl1 Cl 0.180 0.196 0.844
Cl2 Cl 0.293 0.000 0.311
Cl3 Cl 0.307 0.500 0.339



9.
# PBE NiAgPdCl6, relaxed
# Calculated density   3.52 g/cm³
# Formation energy (no corrections)   -431.1 meV per atom
data_NiAgPdCl6
_cell_length_a 6.585
_cell_length_b 6.585
_cell_length_c 10.560
_cell_angle_alpha 90.00
_cell_angle_beta 90.00
_cell_angle_gamma 90.00
_symmetry_space_group_name_H-M 'P 42 n m'
_symmetry_Int_Tables_number 102
loop_
_symmetry_equiv_pos_as_xyz
'x,y,z'
'-y+1/2,x+1/2,z+1/2'
'-x,-y,z'
'y+1/2,-x+1/2,z+1/2'
'-x+1/2,y+1/2,z+1/2'
'y,x,z'
'x+1/2,-y+1/2,z+1/2'
'-y,-x,z'
loop_
_atom_site_label
_atom_site_type_symbol
_atom_site_fract_x
_atom_site_fract_y
_atom_site_fract_z
Ni1 Ni 0.000 0.000 0.000
Ag1 Ag 0.000 0.000 0.335
Pd1 Pd 0.000 0.000 0.677
Cl1 Cl 0.163 0.163 0.846
Cl2 Cl 0.168 0.168 0.145
Cl3 Cl 0.177 0.177 0.518



10.
# PBE NiAgPtCl6, relaxed
# Calculated density   4.72 g/cm³
# Formation energy (no corrections)   -400.1 meV per atom
data_NiAgPtCl6
_cell_length_a 6.057
_cell_length_b 6.057
_cell_length_c 11.014
_cell_angle_alpha 90.00
_cell_angle_beta 90.00
_cell_angle_gamma 90.00
_symmetry_space_group_name_H-M 'P 42 n m'
_symmetry_Int_Tables_number 102
loop_
_symmetry_equiv_pos_as_xyz
'x,y,z'
'-y+1/2,x+1/2,z+1/2'
'-x,-y,z'
'y+1/2,-x+1/2,z+1/2'
'-x+1/2,y+1/2,z+1/2'
'y,x,z'
'x+1/2,-y+1/2,z+1/2'
'-y,-x,z'
loop_
_atom_site_label
_atom_site_type_symbol
_atom_site_fract_x
_atom_site_fract_y
_atom_site_fract_z
Ni1 Ni 0.000 0.000 0.000
Ag1 Ag 0.000 0.000 0.321
Pt1 Pt 0.000 0.000 0.663
Cl1 Cl 0.176 0.176 0.826
Cl2 Cl 0.195 0.195 0.507
Cl3 Cl 0.198 0.198 0.143



11.
# PBE RbNiAgCl4, relaxed
# Calculated density   3.30 g/cm³
# Formation energy (no corrections)   -883.5 meV per atom
data_RbNiAgCl4
_cell_length_a 6.387
_cell_length_b 7.264
_cell_length_c 8.840
_cell_angle_alpha 90.00
_cell_angle_beta 105.11
_cell_angle_gamma 90.00
_symmetry_space_group_name_H-M 'P 1 21/m 1'
_symmetry_Int_Tables_number 11
loop_
_symmetry_equiv_pos_as_xyz
'x,y,z'
'-x,-y,-z'
'-x,y+1/2,-z'
'x,-y+1/2,z'
loop_
_atom_site_label
_atom_site_type_symbol
_atom_site_fract_x
_atom_site_fract_y
_atom_site_fract_z
Rb1 Rb 0.237 0.250 0.433
Ni1 Ni 0.297 0.750 0.170
Ag1 Ag 0.363 0.250 0.996
Cl1 Cl 0.016 0.750 0.957
Cl2 Cl 0.185 0.750 0.392
Cl3 Cl 0.459 0.014 0.782



12.
# PBE Rb3Ni2AgCl8, relaxed
# Calculated density   3.06 g/cm³
# Formation energy (no corrections)   -1110.8 meV per atom
data_Rb3Ni2AgCl8
_cell_length_a 7.1742
_cell_length_b 7.1742
_cell_length_c 9.3260
_cell_angle_alpha 90.00
_cell_angle_beta 90.00
_cell_angle_gamma 120.00
_symmetry_space_group_name_H-M 'P -3 m 1'
_symmetry_Int_Tables_number 164
_symmetry_space_group_name_Hall '-P 3 2"'
loop_
_atom_site_label
_atom_site_type_symbol
_atom_site_fract_x
_atom_site_fract_y
_atom_site_fract_z
Rb1 Rb 0.0000 0.0000 0.0000
Rb2 Rb 0.3333 0.6667 0.6275
Ni1 Ni 0.3333 0.6667 0.2075
Ag1 Ag 0.0000 0.0000 0.5000
Cl1 Cl 0.1701 0.3401 0.3162
Cl2 Cl 0.3333 0.6667 0.9733



> The highest formation energy (no corrections) belongs to which entry?

number 2